Record 1
A plane-wave DFT calculation with PBE was carried out for a relaxed Rb2AuI crystal.

Cell lengths 5.1511, 5.1511, 25.4180 Å; angles 90.00, 90.00, 120.00 degrees
Closest atoms and distances in Å follow each position.
Space group R-3m (No. 166, hexagonal axes)
Unique sites:
Rb: 0.0000 0.0000 0.2467 (multiplicity 6)  3 Au 3.60, 3 I 3.70
Au: 0.0000 0.0000 0.5000 (multiplicity 3)  6 Rb 3.60
I: 0.0000 0.0000 0.0000 (multiplicity 3)  6 Rb 3.70

Computed properties:
E_tot = -2.57 eV/atom
offset from the most stable computed form = 0.000 eV per atom
volume = 48.7 Å³/atom
uncorrected formation energy = -0.8760 eV/atom



Record 2
A plane-wave DFT calculation with PBE was carried out for a relaxed NaHo2Cd4 crystal.

Cell lengths 5.2446, 5.2446, 22.2291 Å; angles 90.00, 90.00, 120.00 degrees
Closest atoms and distances in Å follow each position.
Space group R-3m (No. 166, hexagonal axes)
Unique sites:
Na: 0.0000 0.0000 0.0000 (multiplicity 3)  2 Cd 2.92
Ho: 0.0000 0.0000 0.2751 (multiplicity 6)  8 Cd 3.11-3.44, 3 Na 3.29
Cd: 0.0000 0.0000 0.1315 (multiplicity 6)  1 Na 2.92, 3 Cd 3.17, 1 Ho 3.19
Cd: 0.0000 0.0000 0.4232 (multiplicity 6)  4 Ho 3.11-3.29, 4 Cd 3.17-3.42

Computed properties:
E_tot = -2.06 eV/atom
energy of formation = -41 meV per atom
volume = 25.2 Å³/atom



Record 3
A plane-wave DFT calculation with PBE was carried out for a relaxed Li2PSe6 crystal.

Cell lengths 6.3913, 9.6500, 8.2556 Å; angles 90.00, 125.27, 90.00 degrees
Closest atoms and distances in Å follow each position.
Space group P2_1/c (No. 14)
Unique sites:
Li: 0.1135 0.1864 0.4493 (multiplicity 4)  4 Se 2.57-2.84
P: 0.5000 0.0000 0.0000 (multiplicity 2)  6 Se 2.52-2.56
Se: 0.0327 0.0248 0.8731 (multiplicity 4)  1 Se 2.41, 1 P 2.54
Se: 0.3271 0.5852 0.1502 (multiplicity 4)  1 Se 2.41, 1 P 2.56, 1 Li 2.62
Se: 0.4046 0.2372 0.8444 (multiplicity 4)  1 Se 2.41, 1 P 2.52, 1 Li 2.57

Computed properties:
E_tot = -3.66 eV/atom
volume = 23.1 Å³/atom
uncorrected formation energy = -0.3110 eV/atom



Record 4
A plane-wave DFT calculation with PBE was carried out for a relaxed Sm2HoThN4 crystal.

Cell lengths 6.1789, 3.5843, 6.1931 Å; angles 90.00, 109.31, 90.00 degrees
Closest atoms and distances in Å follow each position.
Space group P2/m (No. 10)
Unique sites:
Sm: 0.0000 0.0000 0.0000 (multiplicity 1)  6 N 2.56
Sm: 0.5000 0.5000 0.0000 (multiplicity 1)  6 N 2.56-2.57
Ho: 0.0000 0.5000 0.5000 (multiplicity 1)  6 N 2.49-2.50
Th: 0.5000 0.0000 0.5000 (multiplicity 1)  6 N 2.49-2.51
N: 0.2467 0.0000 0.7403 (multiplicity 2)  1 Th 2.49, 2 Ho 2.50, 3 Sm 2.56-2.57
N: 0.2508 0.5000 0.2583 (multiplicity 2)  1 Ho 2.49, 2 Th 2.51, 3 Sm 2.56

Computed properties:
E_tot = -8.43 eV/atom
volume = 16.2 Å³/atom
uncorrected formation energy = -1.5919 eV/atom